Entry 1:
Compound: Ba2AsRh
Source: Alexandria via LeMat-Bulk
Functional: PBE
Structure: relaxed

Lattice parameters (Å, degrees): 3.704 3.704 9.421 90.00 90.00 90.08
Fractional coordinates of all 4 atoms:
Ba (0.000, 0.000, 0.000)
Ba (0.500, 0.500, 0.432)
As (0.500, 0.500, 0.763)
Rh (0.000, 0.000, 0.688)

Values from the calculation:
Final energy: -4.20 eV per atom


Entry 2:
Compound: Y2TlCuO5
Source: Alexandria via LeMat-Bulk
Functional: PBE
Structure: relaxed

Lattice parameters (Å, degrees): 6.621 6.621 5.625 90.00 90.00 90.00
Fractional coordinates of all 18 atoms:
Y (0.175, 0.325, 0.000)
Y (0.325, 0.825, 0.000)
Y (0.675, 0.175, 0.000)
Y (0.825, 0.675, 0.000)
Tl (0.000, 0.000, 0.500)
Tl (0.500, 0.500, 0.500)
Cu (0.000, 0.500, 0.500)
Cu (0.500, 0.000, 0.500)
O (0.000, 0.000, 0.000)
O (0.130, 0.630, 0.246)
O (0.130, 0.630, 0.754)
O (0.370, 0.130, 0.246)
O (0.370, 0.130, 0.754)
O (0.500, 0.500, 0.000)
O (0.630, 0.870, 0.246)
O (0.630, 0.870, 0.754)
O (0.870, 0.370, 0.246)
O (0.870, 0.370, 0.754)

Values from the calculation:
Formation energy (no corrections): -2119 meV per atom
Final energy: -7.03 eV per atom


Entry 3:
Compound: Y2Al2Ag
Source: Alexandria via LeMat-Bulk
Functional: PBE
Structure: relaxed

Lattice parameters (Å, degrees): 7.020 7.020 4.652 90.00 90.00 90.00
Fractional coordinates of all 10 atoms:
Y (0.169, 0.331, 0.000)
Y (0.331, 0.831, 0.000)
Y (0.669, 0.169, 0.000)
Y (0.831, 0.669, 0.000)
Al (0.134, 0.634, 0.500)
Al (0.366, 0.134, 0.500)
Al (0.634, 0.866, 0.500)
Al (0.866, 0.366, 0.500)
Ag (0.000, 0.000, 0.500)
Ag (0.500, 0.500, 0.500)

Values from the calculation:
Energy above the most stable polymorph in this dataset: 16.6 meV/atom
Final energy: -5.06 eV per atom


Entry 4:
Compound: LiTl4Ru
Source: Alexandria via LeMat-Bulk
Functional: PBE
Structure: relaxed

Lattice parameters (Å, degrees): 6.090 6.090 6.090 60.00 60.00 60.00
Fractional coordinates of all 6 atoms:
Li (0.000, 0.000, 0.000)
Tl (0.375, 0.375, 0.375)
Tl (0.375, 0.375, 0.874)
Tl (0.375, 0.874, 0.375)
Tl (0.874, 0.375, 0.375)
Ru (0.750, 0.750, 0.750)

Values from the calculation:
Final energy: -2.71 eV per atom


Entry 5:
Compound: Er3Tm3Si4
Source: Alexandria via LeMat-Bulk
Functional: PBE
Structure: relaxed

Lattice parameters (Å, degrees): 4.173 7.379 7.379 90.03 90.00 90.00
Fractional coordinates of all 10 atoms:
Er (0.000, 0.000, 0.000)
Er (0.000, 0.149, 0.501)
Er (0.000, 0.501, 0.149)
Tm (0.000, 0.649, 0.649)
Tm (0.500, 0.324, 0.825)
Tm (0.500, 0.825, 0.324)
Si (0.500, 0.207, 0.207)
Si (0.500, 0.443, 0.443)
Si (0.500, 0.706, 0.942)
Si (0.500, 0.942, 0.706)

Values from the calculation:
Formation energy (no corrections): -711 meV per atom
Final energy: -5.59 eV per atom


Entry 6:
Compound: ReAgRh
Source: Alexandria via LeMat-Bulk
Functional: PBE
Structure: relaxed

Lattice parameters (Å, degrees): 4.907 4.907 4.907 147.31 133.15 58.29
Fractional coordinates of all 3 atoms:
Re (0.000, 0.000, 0.000)
Ag (0.680, 0.680, 0.000)
Rh (0.360, 0.360, 0.000)

Values from the calculation:
Energy above the most stable polymorph in this dataset: 161.4 meV/atom
Final energy: -7.18 eV per atom